Entry 1:
The following is a PBE calculation of a relaxed structure of YSn, from Alexandria.

Values from the calculation:
Total DFT energy (no corrections) in eV per atom: -5.4299
ΔH_f (0 K) in eV/f.u.: -0.4
DOS at the Fermi energy in states/eV/f.u.: 2.39
Magnetic moment in μB/cell: 0.000

```
YSn
1.0
-0.7479 2.9189 4.4472
-3.9712 -0.5024 -3.5825
-2.0064 -4.9631 2.9201
Y Sn
2 2
Direct
0.3333 0.6667 0.2500
0.6667 0.3333 0.7500
0.3333 0.6667 0.7500
0.6667 0.3333 0.2500
```

---

Entry 2:
The following is a PBE calculation of a relaxed structure of Li2Cu2Br, from Alexandria.

Values from the calculation:
Total DFT energy (no corrections) in eV per atom: -3.1247
Polymorph energy (0 for the lowest one) in meV per atom: 0
DOS at the Fermi energy in states/eV/f.u.: 1.54
E_form (uncorrected) in meV per atom: -386
Magnetic moment in μB/cell: 0.000

```
Li2Cu2Br
1.0
3.3985 0.0000 0.0000
0.0000 3.3985 0.0000
1.6993 1.6993 7.5336
Cu Br Li
2 1 2
Direct
0.7500 0.2500 0.5000
0.2500 0.7500 0.5000
0.0000 0.0000 0.0000
0.3965 0.3965 0.2070
0.6035 0.6035 0.7930
```

---

Entry 3:
The following is a PBE calculation of a relaxed structure of Cu2SeBr, from Alexandria.

Values from the calculation:
Total DFT energy (no corrections) in eV per atom: -3.4139
Polymorph energy (0 for the lowest one) in meV per atom: 120
DOS at the Fermi energy in states/eV/f.u.: 2.75
E_form (uncorrected) in meV per atom: -76
Magnetic moment in μB/cell: 0.000

```
Cu2SeBr
1.0
3.7078 -0.0062 -0.0045
1.8768 3.1977 -0.0045
1.9270 1.1013 6.2463
Br Cu Se
1 2 1
Direct
0.2500 0.2500 0.2500
0.0090 0.0090 0.9648
0.4910 0.4910 0.5352
0.7500 0.7500 0.7500
```

---

Entry 4:
The following is a PBE calculation of a relaxed structure of Ga2CuTc, from Alexandria.

Values from the calculation:
Total DFT energy (no corrections) in eV per atom: -5.1944
Polymorph energy (0 for the lowest one) in meV per atom: 60
ΔH_f (0 K) in eV/f.u.: -0.3
DOS at the Fermi energy in states/eV/f.u.: 2.90
Magnetic moment in μB/cell: 0.002

```
Ga2CuTc
1.0
3.1825 0.0000 0.0000
0.0000 3.1825 0.0000
0.0000 0.0000 5.6285
Cu Tc Ga
1 1 2
Direct
0.5000 0.5000 0.0000
0.5000 0.5000 0.5000
0.0000 0.0000 0.7443
0.0000 0.0000 0.2557
```